{
  "formula": "SmPuTlGe",
  "functional": "PBE",
  "state": "relaxed",
  "m_tot_mub_per_cell": 6.10,
  "ef_kj_per_mol_atoms": -26.78,
  "vol_a3_per_cell": 104.4,
  "lattice": [[0.000, 3.738, 3.738], [3.738, 0.000, 3.738], [3.738, 3.738, 0.000]],
  "species": ["Sm", "Pu", "Tl", "Ge"],
  "frac_coords": [[0.000, 0.000, 0.000], [0.500, 0.500, 0.500], [0.250, 0.250, 0.250], [0.750, 0.750, 0.750]]
}